(1)
Computed, not measured: a relaxed LiHfTeAuSe2 crystal at the PBE level of DFT.

Summary:
Electronic total energy: -5.013 eV per atom

CIF file:
```
data_LiHfTeAuSe2
_space_group_name_H-M_alt 'P 1'
_space_group_IT_number 1
_cell_length_a 7.035
_cell_length_b 7.035
_cell_length_c 10.674
_cell_angle_alpha 90.00
_cell_angle_beta 90.00
_cell_angle_gamma 148.51
loop_
_space_group_symop_operation_xyz
'x,y,z'
loop_
_atom_site_label
_atom_site_type_symbol
_atom_site_fract_x
_atom_site_fract_y
_atom_site_fract_z
Li1 Li 0.193 0.807 0.750
Li2 Li 0.807 0.193 0.250
Hf1 Hf 0.000 0.000 0.000
Hf2 Hf 0.000 0.000 0.500
Te1 Te 0.115 0.885 0.250
Te2 Te 0.885 0.115 0.750
Au1 Au 0.465 0.535 0.250
Au2 Au 0.535 0.465 0.750
Se1 Se 0.363 0.637 0.048
Se2 Se 0.363 0.637 0.452
Se3 Se 0.637 0.363 0.548
Se4 Se 0.637 0.363 0.952
```

(2)
Computed, not measured: a relaxed DyEr2Co2Ge4 crystal at the PBE level of DFT.

Summary:
Electronic total energy: -5.883 eV per atom

CIF file:
```
data_DyEr2Co2Ge4
_space_group_name_H-M_alt 'P 1'
_space_group_IT_number 1
_cell_length_a 5.661
_cell_length_b 5.661
_cell_length_c 7.964
_cell_angle_alpha 106.47
_cell_angle_beta 106.47
_cell_angle_gamma 42.90
loop_
_space_group_symop_operation_xyz
'x,y,z'
loop_
_atom_site_label
_atom_site_type_symbol
_atom_site_fract_x
_atom_site_fract_y
_atom_site_fract_z
Dy1 Dy 0.000 0.000 0.000
Er1 Er 0.377 0.377 0.307
Er2 Er 0.623 0.623 0.693
Co1 Co 0.309 0.309 0.629
Co2 Co 0.691 0.691 0.371
Ge1 Ge 0.096 0.096 0.400
Ge2 Ge 0.290 0.290 0.920
Ge3 Ge 0.710 0.710 0.080
Ge4 Ge 0.904 0.904 0.600
```

(3)
Computed, not measured: a relaxed Sm4B2Br2Cl3 crystal at the PBE level of DFT.

Summary:
Electronic total energy: -5.130 eV per atom

CIF file:
```
data_Sm4B2Br2Cl3
_space_group_name_H-M_alt 'P 1'
_space_group_IT_number 1
_cell_length_a 10.256
_cell_length_b 10.256
_cell_length_c 7.915
_cell_angle_alpha 102.92
_cell_angle_beta 102.92
_cell_angle_gamma 21.95
loop_
_space_group_symop_operation_xyz
'x,y,z'
loop_
_atom_site_label
_atom_site_type_symbol
_atom_site_fract_x
_atom_site_fract_y
_atom_site_fract_z
Sm1 Sm 0.003 0.003 0.214
Sm2 Sm 0.338 0.338 0.898
Sm3 Sm 0.662 0.662 0.102
Sm4 Sm 0.997 0.997 0.786
B1 B 0.460 0.460 0.979
B2 B 0.540 0.540 0.021
Br1 Br 0.163 0.163 0.375
Br2 Br 0.837 0.837 0.625
Cl1 Cl 0.178 0.178 0.860
Cl2 Cl 0.500 0.500 0.500
Cl3 Cl 0.822 0.822 0.140
```

(4)
Computed, not measured: a relaxed RbPuZn crystal at the PBE level of DFT.

Summary:
Electronic total energy: -4.782 eV per atom

CIF file:
```
data_RbPuZn
_space_group_name_H-M_alt 'P 1'
_space_group_IT_number 1
_cell_length_a 5.418
_cell_length_b 5.418
_cell_length_c 5.418
_cell_angle_alpha 60.00
_cell_angle_beta 60.00
_cell_angle_gamma 60.00
loop_
_space_group_symop_operation_xyz
'x,y,z'
loop_
_atom_site_label
_atom_site_type_symbol
_atom_site_fract_x
_atom_site_fract_y
_atom_site_fract_z
Rb1 Rb 0.000 0.000 0.000
Pu1 Pu 0.500 0.500 0.500
Zn1 Zn 0.750 0.750 0.750
```

Among the records above, which one has the highest electronic total energy?
RbPuZn

Which of these has the highest electronic total energy?
RbPuZn

The lowest electronic total energy belongs to which entry?
DyEr2Co2Ge4

Which of these has the highest electronic total energy?
RbPuZn